DFT (PBE-GGA) results for a relaxed structure of La2PdRh2.

## Properties
* calculated formation energy: -744.1 meV per atom
* E above lowest polymorph: 0 meV/atom
* D(E_F): 5.548 states/eV per cell

Cell: 4.638 5.745 8.241 Å, 90.00 90.00 90.00°
Space group Immm (No. 71)
One atom of each set of equivalent atoms:
La 0.000 0.000 0.206
Pd 0.000 0.500 0.000
Rh 0.000 0.260 0.500


DFT (PBE-GGA) results for a relaxed structure of La3PdRh.

## Properties
* calculated formation energy: -658.4 meV per atom
* E above lowest polymorph: 0 meV/atom
* D(E_F): 17.930 states/eV per cell

Cell: 9.061 7.697 8.478 Å, 90.00 105.29 90.00°
Space group P2_1/c (No. 14)
One atom of each set of equivalent atoms:
La 0.068 0.003 0.223
La 0.306 0.152 0.618
La 0.357 0.688 0.506
Pd 0.052 0.685 0.022
Rh 0.405 0.036 0.312


DFT (PBE-GGA) results for a relaxed structure of La8Pd2Rh.

## Properties
* calculated formation energy: -357.2 meV per atom
* D(E_F): 25.848 states/eV per cell

Cell: 9.002 12.703 6.655 Å, 90.00 112.02 90.00°
Space group Cm (No. 8)
One atom of each set of equivalent atoms:
La 0.000 0.000 0.000
La 0.088 0.366 0.815
La 0.146 0.134 0.547
La 0.230 0.500 0.388
La 0.364 0.177 0.181
Pd 0.370 0.313 0.694
Rh 0.371 0.000 0.418


DFT (PBE-GGA) results for a relaxed structure of LaPdRh.

## Properties
* calculated formation energy: -735.3 meV per atom
* E above lowest polymorph: 0 meV/atom
* D(E_F): 7.841 states/eV per cell

Cell: 5.447 5.535 7.786 Å, 90.00 90.00 90.00°
Space group Imma (No. 74)
One atom of each set of equivalent atoms:
La 0.000 0.250 0.128
Pd 0.250 0.250 0.750
Rh 0.000 0.000 0.500


DFT (PBE-GGA) results for a relaxed structure of La6PdRh4.

## Properties
* calculated formation energy: -670.4 meV per atom
* D(E_F): 10.526 states/eV per cell

Cell: 8.277 8.248 9.297 Å, 90.00 116.05 90.00°
Space group Cm (No. 8)
One atom of each set of equivalent atoms:
La 0.000 0.000 0.000
La 0.023 0.500 0.999
La 0.119 0.239 0.711
La 0.192 0.250 0.355
Pd 0.442 0.000 0.355
Rh 0.299 0.234 0.075
Rh 0.316 0.500 0.635
Rh 0.347 0.000 0.635


DFT (PBE-GGA) results for a relaxed structure of LaPdRh4.

## Properties
* calculated formation energy: -218.1 meV per atom
* D(E_F): 51.717 states/eV per cell

Cell: 7.498 7.498 7.498 Å, 90.00 90.00 90.00°
Space group F-43m (No. 216)
One atom of each set of equivalent atoms:
La 0.000 0.000 0.000
Pd 0.250 0.250 0.750
Rh 0.124 0.124 0.376


DFT (PBE-GGA) results for a relaxed structure of La2PdRh2.

## Properties
* calculated formation energy: -511.4 meV per atom
* E above lowest polymorph: 233 meV/atom
* D(E_F): 7.195 states/eV per cell

Cell: 3.867 3.867 15.658 Å, 90.00 90.00 90.00°
Space group I4/mmm (No. 139)
One atom of each set of equivalent atoms:
La 0.000 0.000 0.115
Pd 0.000 0.000 0.500
Rh 0.000 0.500 0.250


DFT (PBE-GGA) results for a relaxed structure of La3Pd2Rh7.

## Properties
* calculated formation energy: -576.9 meV per atom
* D(E_F): 34.370 states/eV per cell

Cell: 5.3679 5.3679 26.9085 Å, 90.00 90.00 120.00°
Space group R-3m (No. 166, hexagonal axes)
One atom of each set of equivalent atoms:
La 0.0000 0.0000 0.0000
La 0.0000 0.0000 0.1391
Pd 0.0000 0.0000 0.3330
Rh 0.0000 0.0000 0.5000
Rh 0.0015 0.5008 0.9165


DFT (PBE-GGA) results for a relaxed structure of La3PdRh.

## Properties
* calculated formation energy: -241.5 meV per atom
* E above lowest polymorph: 417 meV/atom
* D(E_F): 5.516 states/eV per cell

Cell: 5.485 5.485 5.485 Å, 90.00 90.00 90.00°
Space group Pm-3m (No. 221)
One atom of each set of equivalent atoms:
La 0.000 0.000 0.500
Pd 0.500 0.500 0.500
Rh 0.000 0.000 0.000


DFT (PBE-GGA) results for a relaxed structure of La6PdRh3.

## Properties
* calculated formation energy: -661.4 meV per atom
* D(E_F): 15.120 states/eV per cell

Cell: 12.098 4.189 12.423 Å, 90.00 111.00 90.00°
Space group P2_1/m (No. 11)
One atom of each set of equivalent atoms:
La 0.048 0.250 0.392
La 0.098 0.750 0.945
La 0.239 0.250 0.770
La 0.254 0.750 0.270
La 0.401 0.250 0.566
La 0.443 0.250 0.107
Pd 0.195 0.750 0.563
Rh 0.001 0.250 0.785
Rh 0.333 0.750 0.943
Rh 0.420 0.250 0.340


DFT (PBE-GGA) results for a relaxed structure of La7PdRh4.

## Properties
* calculated formation energy: -670.9 meV per atom
* D(E_F): 16.461 states/eV per cell

Cell: 13.791 4.072 12.543 Å, 90.00 104.94 90.00°
Space group Cm (No. 8)
One atom of each set of equivalent atoms:
La 0.000 0.000 0.000
La 0.016 0.500 0.289
La 0.109 0.500 0.593
La 0.222 0.000 0.859
La 0.267 0.500 0.142
La 0.305 0.000 0.435
La 0.420 0.500 0.698
Pd 0.146 0.000 0.221
Rh 0.069 0.500 0.834
Rh 0.264 0.000 0.646
Rh 0.379 0.000 0.072
Rh 0.457 0.500 0.456


DFT (PBE-GGA) results for a relaxed structure of LaPdRh.

## Properties
* calculated formation energy: -466.6 meV per atom
* E above lowest polymorph: 269 meV/atom
* D(E_F): 4.206 states/eV per cell

Cell: 3.669 3.669 9.036 Å, 90.00 90.00 90.00°
Space group I4mm (No. 107)
One atom of each set of equivalent atoms:
La 0.000 0.000 0.000
Pd 0.000 0.000 0.323
Rh 0.000 0.000 0.668